(1)
This record from the Alexandria database describes KCd2Cu after structural relaxation. The functional is GGA-PBE.

Cell: 6.3088 11.4009 3.0989 Å, 90.00 115.00 90.00°
Closest atoms and distances in Å follow each position.
Element x y z (fractional)
K (0.0000, 0.0000, 0.0000)  2 K 3.10, 4 Cu 3.15-3.36, 4 Cd 3.31
K (0.5000, 0.5000, 0.0000)  2 K 3.10, 4 Cu 3.15-3.36, 4 Cd 3.31
Cd (0.2500, 0.2500, 0.5000)  6 Cd 3.10-3.36, 2 K 3.31, 2 Cu 3.31
Cd (0.2500, 0.7500, 0.5000)  6 Cd 3.10-3.36, 2 K 3.31, 2 Cu 3.31
Cd (0.7500, 0.2500, 0.5000)  6 Cd 3.10-3.36, 2 K 3.31, 2 Cu 3.31
Cd (0.7500, 0.7500, 0.5000)  6 Cd 3.10-3.36, 2 K 3.31, 2 Cu 3.31
Cu (0.0000, 0.5000, 0.0000)  2 Cu 3.10, 4 K 3.15-3.36, 4 Cd 3.31
Cu (0.5000, 0.0000, 0.0000)  2 Cu 3.10, 4 K 3.15-3.36, 4 Cd 3.31

Output
V = 202.0 Å³/cell
Fermi-level density of states = 2.29 states/eV per cell
raw total energy = -1.424 eV per atom
energy relative to the elements = 1.328 eV per formula unit
excess energy over the best structure of this formula in the dataset = 0.300 eV/atom

---

(2)
This record from the Alexandria database describes KAl3W after structural relaxation. The functional is GGA-PBE.

Cell: 5.0322 5.0322 5.0322 Å, 90.00 90.00 90.00°
Closest atoms and distances in Å follow each position.
Element x y z (fractional)
K (0.0000, 0.0000, 0.0000)  12 Al 3.56
Al (0.0000, 0.5000, 0.5000)  2 W 2.52
Al (0.5000, 0.0000, 0.5000)  2 W 2.52
Al (0.5000, 0.5000, 0.0000)  2 W 2.52
W (0.5000, 0.5000, 0.5000)  6 Al 2.52

Output
V = 127.4 Å³/cell
Fermi-level density of states = 3.59 states/eV per cell
raw total energy = -4.670 eV per atom
energy relative to the elements = 1.930 eV per formula unit
excess energy over the best structure of this formula in the dataset = 0.000 eV/atom

---

(3)
This record from the Alexandria database describes AlMoPt2 after structural relaxation. The functional is GGA-PBE.

Cell: 3.8791 3.8791 4.0673 Å, 90.00 90.00 90.00°
Closest atoms and distances in Å follow each position.
Element x y z (fractional)
Al (0.0000, 0.0000, 0.0000)  4 Mo 2.74, 8 Pt 2.81
Mo (0.5000, 0.5000, 0.0000)  4 Al 2.74, 8 Pt 2.81
Pt (0.0000, 0.5000, 0.5000)  4 Pt 2.74, 4 Mo 2.81, 4 Al 2.81
Pt (0.5000, 0.0000, 0.5000)  4 Pt 2.74, 4 Mo 2.81, 4 Al 2.81

Output
V = 61.2 Å³/cell
Fermi-level density of states = 3.89 states/eV per cell
raw total energy = -7.035 eV per atom
energy relative to the elements = -1.487 eV per formula unit

---

(4)
This record from the Alexandria database describes Cd2CoOs after structural relaxation. The functional is GGA-PBE.

Cell: 3.2449 4.4269 4.5234 Å, 90.00 90.00 90.00°
Closest atoms and distances in Å follow each position.
Element x y z (fractional)
Cd (0.0000, 0.0000, 0.0000)  4 Cd 2.74, 4 Os 2.78
Cd (0.5000, 0.5000, 0.0000)  4 Cd 2.74, 4 Co 2.78
Co (0.0000, 0.5000, 0.5000)  4 Os 2.74, 4 Cd 2.78
Os (0.5000, 0.0000, 0.5000)  4 Co 2.74, 4 Cd 2.78

Output
V = 65.0 Å³/cell
Fermi-level density of states = 2.89 states/eV per cell
raw total energy = -4.427 eV per atom
energy relative to the elements = 2.456 eV per formula unit
excess energy over the best structure of this formula in the dataset = 0.340 eV/atom